Record 1
This record from Alexandria describes a relaxed structure of CaNiSe2. The functional is PBE.

VASP energy = -4.34 eV/atom
Crystal system = orthorhombic
Space group = No. 65

abc: 4.2711 4.2711 7.0521
angles: 90.00 90.00 128.33
Fractional coordinates of all 4 atoms:
Ca (0.0000, 0.0000, 0.0000)
Ni (0.0000, 0.0000, 0.5000)
Se (0.5000, 0.5000, 0.2922)
Se (0.5000, 0.5000, 0.7078)

***

Record 2
This record from Alexandria describes a relaxed structure of CaNiSe. The functional is PBE.

VASP energy = -4.63 eV/atom
Crystal system = monoclinic
Space group = No. 5

abc: 4.1750 4.1750 7.7033
angles: 100.98 100.98 83.31
Fractional coordinates of all 6 atoms:
Ca (0.0000, 0.0000, 0.0000)
Ca (0.7800, 0.2200, 0.5000)
Ni (0.2315, 0.6677, 0.3334)
Ni (0.3323, 0.7685, 0.6666)
Se (0.3711, 0.3042, 0.7848)
Se (0.6958, 0.6289, 0.2152)

***

Record 3
This record from Alexandria describes a relaxed structure of CaNiSe2. The functional is PBE.

VASP energy = -4.65 eV/atom
Crystal system = monoclinic
Space group = No. 8

abc: 6.8279 6.8279 7.9265
angles: 114.95 114.95 35.60
Fractional coordinates of all 8 atoms:
Ca (0.0000, 0.0000, 0.0000)
Ca (0.6762, 0.6762, 0.5609)
Ni (0.2424, 0.2424, 0.9992)
Ni (0.8086, 0.8086, 0.2165)
Se (0.0119, 0.0119, 0.3647)
Se (0.2668, 0.2668, 0.3056)
Se (0.3362, 0.3362, 0.7957)
Se (0.6447, 0.6447, 0.9138)

***

Record 4
This record from Alexandria describes a relaxed structure of Ca2NiSe4. The functional is PBE.

VASP energy = -4.33 eV/atom
Crystal system = tetragonal
Space group = No. 139

abc: 7.9771 7.9771 7.9771
angles: 144.79 144.79 50.65
Fractional coordinates of all 7 atoms:
Ca (0.1339, 0.1339, 0.0000)
Ca (0.8661, 0.8661, 0.0000)
Ni (0.5000, 0.5000, 0.0000)
Se (0.0000, 0.5000, 0.5000)
Se (0.3335, 0.3335, 0.0000)
Se (0.5000, 0.0000, 0.5000)
Se (0.6665, 0.6665, 0.0000)

***

Record 5
This record from Alexandria describes a relaxed structure of SrCaNiSe. The functional is PBE.

VASP energy = -3.90 eV/atom
Crystal system = cubic
Space group = No. 216

abc: 5.1493 5.1493 5.1493
angles: 60.00 60.00 60.00
Fractional coordinates of all 4 atoms:
Sr (0.0000, 0.0000, 0.0000)
Ca (0.5000, 0.5000, 0.5000)
Ni (0.7500, 0.7500, 0.7500)
Se (0.2500, 0.2500, 0.2500)

***

Record 6
This record from Alexandria describes a relaxed structure of CaTiNi2Se. The functional is PBE.

VASP energy = -3.54 eV/atom
Crystal system = tetragonal
Space group = No. 123

abc: 4.4257 4.4257 5.3615
angles: 90.00 90.00 90.00
Fractional coordinates of all 5 atoms:
Ca (0.0000, 0.0000, 0.0000)
Ti (0.0000, 0.0000, 0.5000)
Ni (0.0000, 0.5000, 0.0000)
Ni (0.5000, 0.0000, 0.0000)
Se (0.5000, 0.5000, 0.5000)

***

What did we get for ρ? Answer: 4.22; 4.58; 4.42; 4.50; 4.56; 4.50 g cm⁻³, in the order shown.
What did we get for total moment? Answer: 0.00; 0.00; 0.00; 0.00; 0.00; 0.00 μB per cell, in the order shown.